Crystalline TbPrGa2Ni4 at its relaxed geometry, computed with GGA-PBE.

POSCAR file:
```
TbPrGa2Ni4
1.0
4.003 0.000 0.000
0.000 5.110 0.000
0.000 0.000 6.684
Ga Ni Pr Tb
2 4 1 1
direct
0.500 0.000 0.173 Ga
0.500 0.500 0.832 Ga
0.000 0.000 0.375 Ni
0.500 0.254 0.496 Ni
0.500 0.746 0.496 Ni
0.000 0.500 0.619 Ni
0.000 0.000 0.802 Pr
0.000 0.500 0.207 Tb
```

Summary:
crystal system	orthorhombic
energy above the most stable polymorph in this dataset	0.003	eV/atom
total magnetic moment	0.01	μB per cell



Crystalline Tb2PrGa3Ni3 at its relaxed geometry, computed with GGA-PBE.

POSCAR file:
```
Tb2PrGa3Ni3
1.0
3.818 0.000 0.000
0.000 6.158 3.571
0.000 -6.158 3.571
Ga Ni Pr Tb
3 3 1 2
direct
0.500 0.759 0.008 Ga
0.500 0.236 0.236 Ga
0.500 0.008 0.759 Ga
0.000 0.002 0.002 Ni
0.500 0.670 0.328 Ni
0.500 0.328 0.670 Ni
0.000 0.584 0.584 Pr
0.000 0.414 0.001 Tb
0.000 0.001 0.414 Tb
```

Summary:
crystal system	orthorhombic
electronic total energy	-5.019	eV/atom
total magnetic moment	0.00	μB per cell



Crystalline TbPrGa2Ni4 at its relaxed geometry, computed with GGA-PBE.

POSCAR file:
```
TbPrGa2Ni4
1.0
-2.140 -1.980 -2.988
0.878 -1.954 3.582
-7.870 3.068 3.603
Ga Ni Pr Tb
2 4 1 1
direct
0.667 0.333 0.259 Ga
0.667 0.333 0.741 Ga
0.333 0.667 0.202 Ni
0.000 0.000 0.317 Ni
0.000 0.000 0.683 Ni
0.333 0.667 0.798 Ni
0.000 0.000 0.000 Pr
0.333 0.667 0.500 Tb
```

Summary:
crystal system	hexagonal
energy above the most stable polymorph in this dataset	0.000	eV/atom
total magnetic moment	0.00	μB per cell



Crystalline Pr2YGa2Ni4 at its relaxed geometry, computed with GGA-PBE.

POSCAR file:
```
Pr2YGa2Ni4
1.0
4.988 -2.083 0.000
4.988 2.083 0.000
-1.275 0.000 8.195
Ga Ni Pr Y
2 4 2 1
direct
0.677 0.677 0.288 Ga
0.323 0.323 0.712 Ga
0.083 0.083 0.140 Ni
0.263 0.263 0.417 Ni
0.737 0.737 0.583 Ni
0.917 0.917 0.860 Ni
0.376 0.376 0.124 Pr
0.624 0.624 0.876 Pr
0.000 0.000 0.500 Y
```

Summary:
crystal system	monoclinic
electronic total energy	-5.424	eV/atom
total magnetic moment	0.01	μB per cell



Crystalline GaNiPt at its relaxed geometry, computed with GGA-PBE.

POSCAR file:
```
GaNiPt
1.0
5.472 0.000 0.000
0.000 3.907 0.000
0.000 0.000 7.648
Ga Ni Pt
4 4 4
direct
0.203 0.250 0.100 Ga
0.703 0.250 0.400 Ga
0.297 0.750 0.600 Ga
0.797 0.750 0.900 Ga
0.652 0.250 0.071 Ni
0.152 0.250 0.429 Ni
0.848 0.750 0.571 Ni
0.348 0.750 0.929 Ni
0.942 0.750 0.220 Pt
0.442 0.750 0.280 Pt
0.558 0.250 0.720 Pt
0.058 0.250 0.780 Pt
```

Summary:
crystal system	orthorhombic
electronic total energy	-5.366	eV/atom
total magnetic moment	0.00	μB per cell



Crystalline GaNiPt2 at its relaxed geometry, computed with GGA-PBE.

POSCAR file:
```
GaNiPt2
1.0
0.000 3.070 3.070
3.070 0.000 3.070
3.070 3.070 0.000
Ga Ni Pt
1 1 2
direct
0.500 0.500 0.500 Ga
0.250 0.250 0.250 Ni
0.000 0.000 0.000 Pt
0.750 0.750 0.750 Pt
```

Summary:
crystal system	cubic
electronic total energy	-5.433	eV/atom
total magnetic moment	0.01	μB per cell



Crystalline ScGaNiPt at its relaxed geometry, computed with GGA-PBE.

POSCAR file:
```
ScGaNiPt
1.0
0.000 3.123 3.123
3.123 0.000 3.123
3.123 3.123 0.000
Ga Ni Pt Sc
1 1 1 1
direct
0.000 0.000 0.000 Ga
0.750 0.750 0.750 Ni
0.250 0.250 0.250 Pt
0.500 0.500 0.500 Sc
```

Summary:
crystal system	cubic
energy above the most stable polymorph in this dataset	0.034	eV/atom
total magnetic moment	0.00	μB per cell



Crystalline ScGaNiPt at its relaxed geometry, computed with GGA-PBE.

POSCAR file:
```
ScGaNiPt
1.0
-1.816 -0.147 -3.804
-0.895 -2.949 2.879
-6.297 4.668 2.826
Ga Ni Pt Sc
2 2 2 2
direct
0.000 0.000 0.492 Ga
0.000 0.000 0.992 Ga
0.333 0.667 0.416 Ni
0.667 0.333 0.916 Ni
0.333 0.667 0.091 Pt
0.667 0.333 0.591 Pt
0.667 0.333 0.250 Sc
0.333 0.667 0.750 Sc
```

Summary:
crystal system	hexagonal
energy above the most stable polymorph in this dataset	0.000	eV/atom
total magnetic moment	0.00	μB per cell



Crystalline ScGaNiPt at its relaxed geometry, computed with GGA-PBE.

POSCAR file:
```
ScGaNiPt
1.0
-2.543 3.335 0.281
-1.487 -3.850 0.798
2.056 0.884 8.101
Ga Ni Pt Sc
2 2 2 2
direct
0.000 0.000 0.000 Ga
0.000 0.000 0.500 Ga
0.333 0.667 0.075 Ni
0.667 0.333 0.925 Ni
0.333 0.667 0.395 Pt
0.667 0.333 0.605 Pt
0.667 0.333 0.238 Sc
0.333 0.667 0.762 Sc
```

Summary:
crystal system	trigonal
energy above the most stable polymorph in this dataset	0.014	eV/atom
total magnetic moment	0.00	μB per cell



Crystalline ScGaNiPt at its relaxed geometry, computed with GGA-PBE.

POSCAR file:
```
ScGaNiPt
1.0
2.912 -1.902 -2.775
0.335 -4.433 -0.177
-1.453 -2.199 -3.585
Ga Ni Pt Sc
1 1 1 1
direct
0.000 0.000 0.000 Ga
0.750 0.750 0.750 Ni
0.500 0.500 0.500 Pt
0.250 0.250 0.250 Sc
```

Summary:
crystal system	cubic
energy above the most stable polymorph in this dataset	0.245	eV/atom
total magnetic moment	0.01	μB per cell



Crystalline ScGaNiPt at its relaxed geometry, computed with GGA-PBE.

POSCAR file:
```
ScGaNiPt
1.0
-2.919 -1.342 2.715
4.066 -0.806 0.715
0.674 7.202 4.284
Ga Ni Pt Sc
2 2 2 2
direct
0.000 0.000 0.232 Ga
0.000 0.000 0.768 Ga
0.667 0.333 0.157 Ni
0.667 0.333 0.843 Ni
0.333 0.667 0.331 Pt
0.333 0.667 0.669 Pt
0.333 0.667 0.000 Sc
0.667 0.333 0.500 Sc
```

Summary:
crystal system	hexagonal
energy above the most stable polymorph in this dataset	0.013	eV/atom
total magnetic moment	0.01	μB per cell



Crystalline SrGa2NiPt at its relaxed geometry, computed with GGA-PBE.

POSCAR file:
```
SrGa2NiPt
1.0
4.372 0.000 0.000
0.000 4.372 0.000
0.000 0.000 10.059
Ga Ni Pt Sr
4 2 2 2
direct
0.500 0.000 0.106 Ga
0.000 0.000 0.500 Ga
0.500 0.500 0.500 Ga
0.000 0.500 0.894 Ga
0.000 0.000 0.000 Ni
0.500 0.500 0.000 Ni
0.500 0.000 0.364 Pt
0.000 0.500 0.636 Pt
0.000 0.500 0.239 Sr
0.500 0.000 0.761 Sr
```

Summary:
crystal system	tetragonal
electronic total energy	-4.529	eV/atom
total magnetic moment	0.00	μB per cell



Crystalline Ta2Ga2NiPt at its relaxed geometry, computed with GGA-PBE.

POSCAR file:
```
Ta2Ga2NiPt
1.0
7.252 0.000 0.000
0.000 4.170 0.000
-2.341 0.000 13.646
Ga Ni Pt Ta
8 4 4 8
direct
0.062 0.000 0.181 Ga
0.562 0.500 0.186 Ga
0.314 0.500 0.447 Ga
0.817 0.000 0.447 Ga
0.550 0.000 0.683 Ga
0.069 0.500 0.684 Ga
0.302 0.000 0.932 Ga
0.822 0.500 0.938 Ga
0.499 0.000 0.502 Ni
0.001 0.500 0.503 Ni
0.247 0.000 0.747 Ni
0.001 0.000 0.998 Ni
0.250 0.500 0.252 Pt
0.753 0.000 0.254 Pt
0.750 0.500 0.748 Pt
0.499 0.500 0.997 Pt
0.178 0.500 0.059 Ta
0.697 0.000 0.061 Ta
0.440 0.000 0.321 Ta
0.941 0.500 0.321 Ta
0.685 0.500 0.558 Ta
0.187 0.000 0.563 Ta
0.425 0.500 0.806 Ta
0.948 0.000 0.814 Ta
```

Summary:
crystal system	monoclinic
electronic total energy	-7.336	eV/atom
total magnetic moment	0.01	μB per cell



Crystalline Tb2Ga4NiPt at its relaxed geometry, computed with GGA-PBE.

POSCAR file:
```
Tb2Ga4NiPt
1.0
6.641 0.000 0.000
0.000 2.162 5.053
0.000 -2.162 5.053
Ga Ni Pt Tb
4 1 1 2
direct
0.190 0.132 0.132 Ga
0.810 0.132 0.132 Ga
0.295 0.866 0.866 Ga
0.705 0.866 0.866 Ga
0.000 0.703 0.703 Ni
0.500 0.298 0.298 Pt
0.000 0.418 0.418 Tb
0.500 0.586 0.586 Tb
```

Summary:
crystal system	orthorhombic
electronic total energy	-4.905	eV/atom
total magnetic moment	0.00	μB per cell



Crystalline Tb2Ga2Ni3Pt at its relaxed geometry, computed with GGA-PBE.

POSCAR file:
```
Tb2Ga2Ni3Pt
1.0
-3.763 -1.787 0.716
3.452 -1.502 1.921
-1.360 5.595 6.818
Ga Ni Pt Tb
2 3 1 2
direct
0.333 0.667 0.010 Ga
0.333 0.667 0.497 Ga
0.667 0.333 0.077 Ni
0.667 0.333 0.431 Ni
0.000 0.000 0.563 Ni
0.000 0.000 0.923 Pt
0.000 0.000 0.255 Tb
0.667 0.333 0.743 Tb
```

Summary:
crystal system	trigonal
electronic total energy	-5.443	eV/atom
total magnetic moment	0.00	μB per cell



Crystalline Tb2Ga2NiPt3 at its relaxed geometry, computed with GGA-PBE.

POSCAR file:
```
Tb2Ga2NiPt3
1.0
-2.163 2.235 -3.035
2.003 -3.712 -1.049
-7.568 -4.641 1.976
Ga Ni Pt Tb
2 1 3 2
direct
0.667 0.333 0.004 Ga
0.667 0.333 0.499 Ga
0.000 0.000 0.075 Ni
0.000 0.000 0.407 Pt
0.333 0.667 0.584 Pt
0.333 0.667 0.928 Pt
0.333 0.667 0.248 Tb
0.000 0.000 0.754 Tb
```

Summary:
crystal system	trigonal
electronic total energy	-5.816	eV/atom
total magnetic moment	0.01	μB per cell



Crystalline Tm2Ga2Ni3Pt at its relaxed geometry, computed with GGA-PBE.

POSCAR file:
```
Tm2Ga2Ni3Pt
1.0
-3.148 2.097 1.825
-0.688 -2.161 -3.534
-1.974 -7.050 4.696
Ga Ni Pt Tm
2 3 1 2
direct
0.667 0.333 0.014 Ga
0.667 0.333 0.496 Ga
0.000 0.000 0.082 Ni
0.000 0.000 0.427 Ni
0.333 0.667 0.566 Ni
0.333 0.667 0.916 Pt
0.333 0.667 0.255 Tm
0.000 0.000 0.743 Tm
```

Summary:
crystal system	trigonal
electronic total energy	-5.429	eV/atom
total magnetic moment	0.00	μB per cell



Crystalline Tm2Ga2NiPt3 at its relaxed geometry, computed with GGA-PBE.

POSCAR file:
```
Tm2Ga2NiPt3
1.0
-1.504 -3.945 0.918
3.935 0.465 -1.721
3.505 0.562 8.164
Ga Ni Pt Tm
2 1 3 2
direct
0.667 0.333 0.007 Ga
0.667 0.333 0.499 Ga
0.000 0.000 0.079 Ni
0.000 0.000 0.403 Pt
0.333 0.667 0.588 Pt
0.333 0.667 0.925 Pt
0.333 0.667 0.247 Tm
0.000 0.000 0.753 Tm
```

Summary:
crystal system	trigonal
electronic total energy	-5.806	eV/atom
total magnetic moment	0.02	μB per cell



Crystalline YGaNiPt at its relaxed geometry, computed with GGA-PBE.

POSCAR file:
```
YGaNiPt
1.0
-3.482 -1.034 -2.261
0.550 -1.596 3.931
-4.366 7.083 3.487
Ga Ni Pt Y
2 2 2 2
direct
0.000 0.000 0.000 Ga
0.000 0.000 0.500 Ga
0.667 0.333 0.435 Ni
0.333 0.667 0.565 Ni
0.667 0.333 0.093 Pt
0.333 0.667 0.907 Pt
0.333 0.667 0.259 Y
0.667 0.333 0.741 Y
```

Summary:
crystal system	trigonal
energy above the most stable polymorph in this dataset	0.015	eV/atom
total magnetic moment	0.00	μB per cell



Crystalline Y2Ga4NiPt at its relaxed geometry, computed with GGA-PBE.

POSCAR file:
```
Y2Ga4NiPt
1.0
6.711 0.000 0.000
0.000 2.129 5.086
0.000 -2.129 5.086
Ga Ni Pt Y
4 1 1 2
direct
0.205 0.137 0.137 Ga
0.795 0.137 0.137 Ga
0.311 0.865 0.865 Ga
0.689 0.865 0.865 Ga
0.500 0.291 0.291 Ni
0.000 0.707 0.707 Pt
0.000 0.421 0.421 Y
0.500 0.577 0.577 Y
```

Summary:
crystal system	orthorhombic
electronic total energy	-5.371	eV/atom
total magnetic moment	0.00	μB per cell



Crystalline YGaNiPt at its relaxed geometry, computed with GGA-PBE.

POSCAR file:
```
YGaNiPt
1.0
4.290 0.000 0.000
-2.145 3.715 0.000
0.000 0.000 8.974
Ga Ni Pt Y
2 2 2 2
direct
0.000 0.000 0.006 Ga
0.000 0.000 0.506 Ga
0.667 0.333 0.073 Ni
0.333 0.667 0.573 Ni
0.667 0.333 0.422 Pt
0.333 0.667 0.922 Pt
0.333 0.667 0.250 Y
0.667 0.333 0.750 Y
```

Summary:
crystal system	hexagonal
energy above the most stable polymorph in this dataset	0.000	eV/atom
total magnetic moment	0.00	μB per cell



Crystalline YGaNiPt at its relaxed geometry, computed with GGA-PBE.

POSCAR file:
```
YGaNiPt
1.0
4.282 0.000 0.000
-2.141 3.708 0.000
0.000 0.000 9.041
Ga Ni Pt Y
2 2 2 2
direct
0.000 0.000 0.239 Ga
0.000 0.000 0.761 Ga
0.667 0.333 0.174 Ni
0.667 0.333 0.826 Ni
0.333 0.667 0.321 Pt
0.333 0.667 0.679 Pt
0.333 0.667 0.000 Y
0.667 0.333 0.500 Y
```

Summary:
crystal system	hexagonal
energy above the most stable polymorph in this dataset	0.005	eV/atom
total magnetic moment	0.00	μB per cell



Crystalline YGaNiPt at its relaxed geometry, computed with GGA-PBE.

POSCAR file:
```
YGaNiPt
1.0
0.000 3.254 3.254
3.254 0.000 3.254
3.254 3.254 0.000
Ga Ni Pt Y
1 1 1 1
direct
0.000 0.000 0.000 Ga
0.750 0.750 0.750 Ni
0.250 0.250 0.250 Pt
0.500 0.500 0.500 Y
```

Summary:
crystal system	cubic
energy above the most stable polymorph in this dataset	0.157	eV/atom
total magnetic moment	0.00	μB per cell



Crystalline Zr3ZnGa2NiPt2 at its relaxed geometry, computed with GGA-PBE.

POSCAR file:
```
Zr3ZnGa2NiPt2
1.0
3.464 0.000 0.000
0.000 6.226 3.594
0.000 -6.226 3.594
Ga Ni Pt Zn Zr
2 1 2 1 3
direct
0.500 0.748 0.000 Ga
0.500 0.000 0.748 Ga
0.000 0.995 0.995 Ni
0.500 0.669 0.333 Pt
0.500 0.333 0.669 Pt
0.500 0.255 0.255 Zn
0.000 0.393 0.003 Zr
0.000 0.003 0.393 Zr
0.000 0.602 0.602 Zr
```

Summary:
crystal system	orthorhombic
electronic total energy	-6.441	eV/atom
total magnetic moment	0.00	μB per cell